Entry 1:
Entry from the Alexandria database: crystalline RbHgSb2 at its relaxed geometry (GGA-PBEsol).

Cell: 5.530 5.530 10.582 Å, 105.15 105.15 90.00°
Fractional coordinates of all 8 atoms:
Sb 0.125 0.991 0.750
Hg 0.000 0.000 0.000
Sb 0.241 0.875 0.250
Rb 0.750 0.250 0.500
Sb 0.625 0.759 0.750
Sb 0.009 0.375 0.250
Rb 0.500 0.500 0.000
Hg 0.250 0.750 0.500

The value obtained for the formation energy from raw total energies is -54 meV per atom. The calculation puts the density of states at the Fermi level at 0.196 states/eV/atom. Its space-group type is No. 122. As for the total magnetic moment: 0.000 μB per atom.


Entry 2:
Entry from the Alexandria database: crystalline RbHgSbSe3 at its relaxed geometry (GGA-PBEsol).

Cell: 7.723 8.771 11.163 Å, 90.00 90.00 106.46°
Fractional coordinates of all 24 atoms:
Rb 0.989 0.622 0.754
Hg 0.593 0.023 0.250
Hg 0.407 0.977 0.750
Hg 0.593 0.523 0.250
Sb 0.545 0.262 0.502
Se 0.370 0.218 0.233
Se 0.232 0.911 0.546
Rb 0.989 0.122 0.746
Rb 0.011 0.378 0.246
Sb 0.455 0.738 0.498
Se 0.232 0.411 0.954
Sb 0.545 0.762 0.998
Se 0.370 0.718 0.267
Se 0.232 0.455 0.546
Se 0.768 0.045 0.046
Sb 0.455 0.238 0.002
Hg 0.407 0.477 0.750
Se 0.768 0.589 0.046
Se 0.768 0.545 0.454
Rb 0.011 0.878 0.254
Se 0.232 0.955 0.954
Se 0.630 0.282 0.733
Se 0.768 0.089 0.454
Se 0.630 0.782 0.767

The value obtained for the formation energy from raw total energies is -523 meV per atom. Its space-group type is No. 14. As for the total magnetic moment: 0.000 μB per atom.


Entry 3:
Entry from the Alexandria database: crystalline RbSc2HgTe at its relaxed geometry (GGA-PBEsol).

Cell: 5.327 5.327 6.139 Å, 90.00 90.00 90.00°
Fractional coordinates of all 5 atoms:
Sc 0.000 0.500 0.000
Hg 0.000 0.000 0.000
Sc 0.500 0.000 0.000
Te 0.000 0.000 0.500
Rb 0.500 0.500 0.500

The value obtained for the formation energy from raw total energies is 238 meV per atom. The calculation puts the density of states at the Fermi level at 1.188 states/eV/atom. Its space-group type is No. 123. As for the total magnetic moment: 0.000 μB per atom.


Entry 4:
Entry from the Alexandria database: crystalline Rb2Hg3Se4 at its relaxed geometry (GGA-PBEsol).

Cell: 6.501 9.771 9.771 Å, 73.42 70.57 70.57°
Fractional coordinates of all 18 atoms:
Se 0.646 0.500 0.768
Hg 0.250 0.924 0.576
Rb 0.774 0.118 0.882
Hg 0.750 0.750 0.750
Se 0.854 0.732 0.000
Rb 0.226 0.882 0.118
Se 0.354 0.500 0.232
Se 0.414 0.000 0.732
Se 0.914 0.232 0.500
Rb 0.726 0.618 0.382
Se 0.146 0.268 0.000
Hg 0.750 0.076 0.424
Hg 0.250 0.576 0.924
Se 0.586 0.000 0.268
Hg 0.750 0.424 0.076
Se 0.086 0.768 0.500
Hg 0.250 0.250 0.250
Rb 0.274 0.382 0.618

The value obtained for the formation energy from raw total energies is -574 meV per atom. Its space-group type is No. 72. As for the total magnetic moment: 0.000 μB per atom.


Entry 5:
Entry from the Alexandria database: crystalline RbHgSe2 at its relaxed geometry (GGA-PBEsol).

Cell: 4.059 4.059 9.588 Å, 77.78 77.78 60.00°
Fractional coordinates of all 4 atoms:
Se 0.113 0.113 0.660
Se 0.887 0.887 0.340
Hg 0.500 0.500 0.500
Rb 0.000 0.000 0.000

The value obtained for the formation energy from raw total energies is -96 meV per atom. The calculation puts the density of states at the Fermi level at 0.867 states/eV/atom. Its space-group type is No. 166. As for the total magnetic moment: 0.000 μB per atom.


Entry 6:
Entry from the Alexandria database: crystalline RbHgSe2 at its relaxed geometry (GGA-PBEsol).

Cell: 6.825 6.825 6.825 Å, 108.03 108.03 112.40°
Fractional coordinates of all 8 atoms:
Se 0.294 0.375 0.419
Hg 0.000 0.000 0.000
Se 0.625 0.044 0.919
Rb 0.500 0.500 0.000
Se 0.956 0.875 0.581
Rb 0.750 0.250 0.500
Se 0.125 0.706 0.081
Hg 0.250 0.750 0.500

The value obtained for the formation energy from raw total energies is -443 meV per atom. The calculation puts the density of states at the Fermi level at 0.739 states/eV/atom. Its space-group type is No. 122. As for the total magnetic moment: 0.000 μB per atom.


Entry 7:
Entry from the Alexandria database: crystalline RbHg2Se at its relaxed geometry (GGA-PBEsol).

Cell: 6.467 6.754 7.114 Å, 118.34 101.68 90.00°
Fractional coordinates of all 8 atoms:
Hg 0.000 0.702 0.000
Rb 0.759 0.225 0.447
Hg 0.763 0.054 0.877
Se 0.295 0.308 0.614
Se 0.705 0.694 0.386
Rb 0.241 0.778 0.553
Hg 0.500 0.489 0.000
Hg 0.237 0.177 0.123

The value obtained for the formation energy from raw total energies is -426 meV per atom. Its space-group type is No. 5. As for the total magnetic moment: 0.000 μB per atom.


Entry 8:
Entry from the Alexandria database: crystalline Rb2TlSiHg at its relaxed geometry (GGA-PBEsol).

Cell: 5.012 6.838 6.838 Å, 90.00 90.00 90.00°
Fractional coordinates of all 5 atoms:
Tl 0.000 0.000 0.000
Rb 0.000 0.000 0.500
Hg 0.500 0.500 0.500
Rb 0.000 0.500 0.000
Si 0.500 0.000 0.000

The value obtained for the formation energy from raw total energies is 281 meV per atom. The calculation puts the density of states at the Fermi level at 0.368 states/eV/atom. Its space-group type is No. 123. As for the total magnetic moment: 0.000 μB per atom.


Entry 9:
Entry from the Alexandria database: crystalline Rb2SnHgTe4 at its relaxed geometry (GGA-PBEsol).

Cell: 7.180 7.180 7.180 Å, 105.17 105.17 118.47°
Fractional coordinates of all 8 atoms:
Te 0.585 0.585 0.651
Hg 0.500 0.500 0.000
Te 0.066 0.415 0.000
Sn 0.000 0.000 0.000
Te 0.934 0.934 0.349
Rb 0.500 0.000 0.500
Rb 0.000 0.500 0.500
Te 0.415 0.066 0.000

The value obtained for the formation energy from raw total energies is -544 meV per atom. Its space-group type is No. 121. As for the total magnetic moment: 0.000 μB per atom.


Entry 10:
Entry from the Alexandria database: crystalline Rb3TaHg at its relaxed geometry (GGA-PBEsol).

Cell: 6.471 6.471 6.471 Å, 90.00 90.00 90.00°
Fractional coordinates of all 5 atoms:
Rb 0.000 0.000 0.500
Rb 0.500 0.000 0.000
Hg 0.000 0.000 0.000
Rb 0.000 0.500 0.000
Ta 0.500 0.500 0.500

The calculation puts the density of states at the Fermi level at 2.059 states/eV/atom. Its space-group type is No. 221. As for the total magnetic moment: 0.925 μB per atom.


Entry 11:
Entry from the Alexandria database: crystalline RbTaHgW2 at its relaxed geometry (GGA-PBEsol).

Cell: 4.645 4.645 5.120 Å, 90.00 90.00 90.00°
Fractional coordinates of all 5 atoms:
W 0.000 0.500 0.000
Hg 0.000 0.000 0.500
Ta 0.500 0.500 0.500
W 0.500 0.000 0.000
Rb 0.000 0.000 0.000

The calculation puts the density of states at the Fermi level at 1.331 states/eV/atom. Its space-group type is No. 123. As for the total magnetic moment: 0.000 μB per atom.


Entry 12:
Entry from the Alexandria database: crystalline Rb2HgTe at its relaxed geometry (GGA-PBEsol).

Cell: 5.971 5.971 5.971 Å, 60.00 60.00 60.00°
Fractional coordinates of all 4 atoms:
Hg 0.500 0.500 0.500
Te 0.000 0.000 0.000
Rb 0.250 0.250 0.250
Rb 0.750 0.750 0.750

The value obtained for the formation energy from raw total energies is -710 meV per atom. The calculation puts the density of states at the Fermi level at 0.000 states/eV/atom. Its space-group type is No. 225. As for the total magnetic moment: 0.000 μB per atom.


Entry 13:
Entry from the Alexandria database: crystalline RbTl3Hg at its relaxed geometry (GGA-PBEsol).

Cell: 5.770 5.770 5.770 Å, 90.00 90.00 90.00°
Fractional coordinates of all 5 atoms:
Tl 0.000 0.000 0.500
Tl 0.500 0.000 0.000
Hg 0.000 0.000 0.000
Rb 0.500 0.500 0.500
Tl 0.000 0.500 0.000

The calculation puts the density of states at the Fermi level at 0.763 states/eV/atom. Its space-group type is No. 221. As for the total magnetic moment: 0.000 μB per atom.


Entry 14:
Entry from the Alexandria database: crystalline Rb2TlHg2 at its relaxed geometry (GGA-PBEsol).

Cell: 5.581 8.008 8.008 Å, 90.00 90.00 90.00°
Fractional coordinates of all 10 atoms:
Tl 0.000 0.500 0.500
Hg 0.000 0.368 0.868
Hg 0.000 0.132 0.368
Rb 0.500 0.824 0.324
Hg 0.000 0.632 0.132
Rb 0.500 0.676 0.824
Hg 0.000 0.868 0.632
Rb 0.500 0.324 0.176
Rb 0.500 0.176 0.676
Tl 0.000 0.000 0.000

The calculation puts the density of states at the Fermi level at 0.727 states/eV/atom. Its space-group type is No. 127. As for the total magnetic moment: 0.000 μB per atom.


Entry 15:
Entry from the Alexandria database: crystalline Rb3HgW at its relaxed geometry (GGA-PBEsol).

Cell: 6.951 6.951 6.951 Å, 90.00 90.00 90.00°
Fractional coordinates of all 5 atoms:
Hg 0.500 0.500 0.500
Rb 0.000 0.000 0.500
Rb 0.000 0.500 0.000
W 0.000 0.000 0.000
Rb 0.500 0.000 0.000

The calculation puts the density of states at the Fermi level at 0.609 states/eV/atom. Its space-group type is No. 221. As for the total magnetic moment: 1.322 μB per atom.


Entry 16:
Entry from the Alexandria database: crystalline RbZn2Hg2 at its relaxed geometry (GGA-PBEsol).

Cell: 4.835 4.835 6.398 Å, 112.20 112.20 90.00°
Fractional coordinates of all 5 atoms:
Hg 0.363 0.363 0.727
Zn 0.250 0.750 0.500
Zn 0.750 0.250 0.500
Hg 0.637 0.637 0.273
Rb 0.000 0.000 0.000

The calculation puts the density of states at the Fermi level at 0.354 states/eV/atom. Its space-group type is No. 139. As for the total magnetic moment: 0.000 μB per atom.


Entry 17:
Entry from the Alexandria database: crystalline RbZnHg3 at its relaxed geometry (GGA-PBEsol).

Cell: 5.269 5.269 5.269 Å, 90.00 90.00 90.00°
Fractional coordinates of all 5 atoms:
Hg 0.000 0.000 0.500
Rb 0.500 0.500 0.500
Hg 0.500 0.000 0.000
Zn 0.000 0.000 0.000
Hg 0.000 0.500 0.000

The calculation puts the density of states at the Fermi level at 0.368 states/eV/atom. Its space-group type is No. 221. As for the total magnetic moment: 0.000 μB per atom.


Entry 18:
Entry from the Alexandria database: crystalline Rb3ZrHg at its relaxed geometry (GGA-PBEsol).

Cell: 6.897 6.897 6.897 Å, 90.00 90.00 90.00°
Fractional coordinates of all 5 atoms:
Zr 0.000 0.000 0.000
Hg 0.500 0.500 0.500
Rb 0.000 0.000 0.500
Rb 0.000 0.500 0.000
Rb 0.500 0.000 0.000

The calculation puts the density of states at the Fermi level at 0.547 states/eV/atom. Its space-group type is No. 221. As for the total magnetic moment: 1.016 μB per atom.


Entry 19:
Entry from the Alexandria database: crystalline Re4Hg at its relaxed geometry (GGA-PBEsol).

Cell: 3.987 4.814 4.814 Å, 80.12 65.53 65.53°
Fractional coordinates of all 5 atoms:
Hg 0.000 0.000 0.000
Re 0.196 0.222 0.385
Re 0.804 0.778 0.615
Re 0.419 0.385 0.778
Re 0.581 0.615 0.222

The calculation puts the density of states at the Fermi level at 0.720 states/eV/atom. Its space-group type is No. 87. As for the total magnetic moment: 0.000 μB per atom.


Entry 20:
Entry from the Alexandria database: crystalline ReHg3 at its relaxed geometry (GGA-PBEsol).

Cell: 2.786 4.876 8.973 Å, 123.89 98.93 90.00°
Fractional coordinates of all 4 atoms:
Hg 0.836 0.671 0.673
Hg 0.000 0.500 0.000
Hg 0.164 0.329 0.327
Re 0.500 0.000 0.000

The calculation puts the density of states at the Fermi level at 0.698 states/eV/atom. Its space-group type is No. 12. As for the total magnetic moment: 0.075 μB per atom.


Entry 21:
Entry from the Alexandria database: crystalline Re4Hg at its relaxed geometry (GGA-PBEsol).

Cell: 4.002 4.002 6.266 Å, 108.62 108.62 90.00°
Fractional coordinates of all 5 atoms:
Hg 0.000 0.000 0.000
Re 0.386 0.386 0.772
Re 0.614 0.614 0.228
Re 0.250 0.750 0.500
Re 0.750 0.250 0.500

The calculation puts the density of states at the Fermi level at 0.744 states/eV/atom. Its space-group type is No. 139. As for the total magnetic moment: 0.000 μB per atom.


Entry 22:
Entry from the Alexandria database: crystalline ReHgRh2 at its relaxed geometry (GGA-PBEsol).

Cell: 2.790 2.790 7.784 Å, 90.00 90.00 90.00°
Fractional coordinates of all 4 atoms:
Re 0.500 0.500 0.500
Hg 0.500 0.500 0.000
Rh 0.000 0.000 0.725
Rh 0.000 0.000 0.275

The calculation puts the density of states at the Fermi level at 0.515 states/eV/atom. Its space-group type is No. 123. As for the total magnetic moment: 0.000 μB per atom.


Entry 23:
Entry from the Alexandria database: crystalline ReHgRh2 at its relaxed geometry (GGA-PBEsol).

Cell: 3.773 3.998 3.998 Å, 90.00 90.00 90.00°
Fractional coordinates of all 4 atoms:
Rh 0.000 0.500 0.000
Re 0.500 0.000 0.000
Hg 0.500 0.500 0.500
Rh 0.000 0.000 0.500

The calculation puts the density of states at the Fermi level at 1.500 states/eV/atom. Its space-group type is No. 123. As for the total magnetic moment: 0.149 μB per atom.


Entry 24:
Entry from the Alexandria database: crystalline Re2HgRh at its relaxed geometry (GGA-PBEsol).

Cell: 2.781 4.743 4.921 Å, 100.28 106.41 90.00°
Fractional coordinates of all 4 atoms:
Rh 0.500 0.000 0.000
Re 0.760 0.765 0.520
Re 0.240 0.235 0.480
Hg 0.000 0.500 0.000

The calculation puts the density of states at the Fermi level at 0.857 states/eV/atom. Its space-group type is No. 12. As for the total magnetic moment: 0.000 μB per atom.


Entry 25:
Entry from the Alexandria database: crystalline Re2HgRh at its relaxed geometry (GGA-PBEsol).

Cell: 2.811 2.811 7.845 Å, 90.00 90.00 90.00°
Fractional coordinates of all 4 atoms:
Rh 0.000 0.000 0.479
Re 0.500 0.500 0.251
Re 0.000 0.000 0.026
Hg 0.500 0.500 0.744

The calculation puts the density of states at the Fermi level at 0.795 states/eV/atom. Its space-group type is No. 99. As for the total magnetic moment: 0.000 μB per atom.


Entry 26:
Entry from the Alexandria database: crystalline ReHgRu2 at its relaxed geometry (GGA-PBEsol).

Cell: 4.426 4.426 4.426 Å, 60.00 60.00 60.00°
Fractional coordinates of all 4 atoms:
Ru 0.000 0.000 0.000
Ru 0.250 0.250 0.250
Hg 0.500 0.500 0.500
Re 0.750 0.750 0.750

The calculation puts the density of states at the Fermi level at 1.444 states/eV/atom. Its space-group type is No. 216. As for the total magnetic moment: 0.521 μB per atom.


Entry 27:
Entry from the Alexandria database: crystalline ReHgRu2 at its relaxed geometry (GGA-PBEsol).

Cell: 2.777 2.777 9.223 Å, 81.34 81.34 60.00°
Fractional coordinates of all 4 atoms:
Hg 0.500 0.500 0.500
Ru 0.257 0.257 0.230
Ru 0.743 0.743 0.770
Re 0.000 0.000 0.000

The calculation puts the density of states at the Fermi level at 0.876 states/eV/atom. Its space-group type is No. 166. As for the total magnetic moment: 0.000 μB per atom.


| no. | uncorrected energy (eV per atom) |
| --- | --- |
| 1 | -2.730 |
| 2 | -3.473 |
| 3 | -3.428 |
| 4 | -2.702 |
| 5 | -2.419 |
| 6 | -2.766 |
| 7 | -1.928 |
| 8 | -1.918 |
| 9 | -3.167 |
| 10 | -1.845 |
| 11 | -4.691 |
| 12 | -2.246 |
| 13 | -1.741 |
| 14 | -1.284 |
| 15 | -2.029 |
| 16 | -1.112 |
| 17 | -0.954 |
| 18 | -1.510 |
| 19 | -10.333 |
| 20 | -3.210 |
| 21 | -10.140 |
| 22 | -7.613 |
| 23 | -7.052 |
| 24 | -8.443 |
| 25 | -8.634 |
| 26 | -7.692 |
| 27 | -8.312 |